[1]
Compound: Pa4TcRh
Source: the Alexandria database
Functional: GGA-PBE
Structure: relaxed

POSCAR file:
```
Pa4TcRh
1.0
5.779 0.000 0.000
0.000 5.745 0.391
-2.889 -1.797 7.799
Pa Rh Tc
8 2 2
Direct
0.555 0.519 0.850
0.979 0.531 0.325
0.021 0.469 0.675
0.445 0.481 0.150
0.653 0.969 0.675
0.347 0.031 0.325
0.705 0.981 0.150
0.295 0.019 0.850
0.500 0.500 0.500
0.000 0.000 0.500
0.945 0.250 0.000
0.055 0.750 0.000
```

Calculated values
Its crystal system is monoclinic. As for the total energy: -0.6944 Ry/atom. The value obtained for the formation energy is -0.164 eV/atom.



[2]
Compound: DyMg5Tl8
Source: the Alexandria database
Functional: GGA-PBE
Structure: relaxed

POSCAR file:
```
DyMg5Tl8
1.0
-2.732 4.936 5.474
-5.682 -5.038 -2.034
6.130 -4.004 2.862
Tl Mg Dy
8 5 1
Direct
0.756 0.265 0.356
0.134 0.736 0.062
0.091 0.735 0.491
0.325 0.264 0.397
0.509 0.600 0.244
0.644 0.400 0.909
0.938 0.072 0.675
0.603 0.928 0.866
0.884 0.912 0.225
0.500 0.000 0.500
0.775 0.659 0.687
0.028 0.341 0.116
0.313 0.088 0.972
0.250 0.500 0.750
```

Calculated values
Its crystal system is tetragonal. As for the total energy: -0.1665 Ry/atom. The value obtained for the formation energy is -0.015 eV/atom.



[3]
Compound: MnSiHPd2
Source: the Alexandria database
Functional: GGA-PBE
Structure: relaxed

POSCAR file:
```
MnSiHPd2
1.0
-1.601 2.968 1.923
-1.439 -2.475 2.622
3.294 0.376 2.162
Pd H Si Mn
2 1 1 1
Direct
0.000 0.500 0.000
0.500 0.000 0.000
0.000 0.000 0.000
0.500 0.500 0.500
0.000 0.000 0.500
```

Calculated values
Its crystal system is tetragonal. As for the total energy: -0.4287 Ry/atom.



[4]
Compound: MgSiRh
Source: the Alexandria database
Functional: GGA-PBE
Structure: relaxed

POSCAR file:
```
MgSiRh
1.0
-2.151 1.327 3.303
-1.395 -2.733 2.808
1.709 -0.143 3.789
Mg Si Rh
1 1 1
Direct
0.500 0.500 0.500
0.000 0.000 0.000
0.750 0.750 0.750
```

Calculated values
Its crystal system is cubic. As for the total energy: -0.3826 Ry/atom.



[5]
Compound: NbV2P
Source: the Alexandria database
Functional: GGA-PBE
Structure: relaxed

POSCAR file:
```
NbV2P
1.0
7.223 0.000 0.000
0.000 7.223 0.000
3.611 3.611 2.428
Nb V P
2 4 2
Direct
0.750 0.250 0.500
0.000 0.000 0.000
0.198 0.625 0.250
0.552 0.125 0.250
0.875 0.802 0.750
0.375 0.448 0.750
0.250 0.750 0.500
0.500 0.500 0.000
```

Calculated values
Its crystal system is tetragonal. As for the total energy: -0.6188 Ry/atom. The value obtained for the formation energy is 0.009 eV/atom.



[6]
Compound: Pr5Zn2O2
Source: the Alexandria database
Functional: GGA-PBE
Structure: relaxed

POSCAR file:
```
Pr5Zn2O2
1.0
6.620 0.000 -2.169
-0.729 6.731 -2.223
-0.215 -0.317 10.531
O Pr Zn
4 10 4
Direct
0.500 0.509 0.000
0.000 0.009 0.000
0.232 0.259 0.500
0.768 0.759 0.500
0.003 0.511 0.500
0.244 0.144 0.273
0.756 0.870 0.727
0.470 0.370 0.727
0.530 0.644 0.273
0.775 0.284 0.049
0.774 0.784 0.049
0.226 0.735 0.951
0.997 0.011 0.500
0.225 0.235 0.951
0.336 0.881 0.740
0.664 0.142 0.260
0.904 0.381 0.740
0.096 0.642 0.260
```

Calculated values
Its crystal system is orthorhombic. As for the total energy: -0.3913 Ry/atom.



[7]
Compound: Ce7Pt2Rh2
Source: the Alexandria database
Functional: GGA-PBE
Structure: relaxed

POSCAR file:
```
Ce7Pt2Rh2
1.0
-6.096 0.795 2.471
1.442 -4.324 4.931
3.907 4.534 2.841
Ce Pt Rh
7 2 2
Direct
0.000 0.713 0.500
0.000 0.287 0.500
0.000 0.000 0.000
0.499 0.713 0.501
0.500 0.713 0.000
0.501 0.287 0.499
0.500 0.287 0.000
0.170 0.500 0.170
0.830 0.500 0.830
0.711 0.999 0.289
0.289 0.001 0.711
```

Calculated values
Its crystal system is monoclinic. As for the total energy: -0.4921 Ry/atom. The value obtained for the formation energy is -0.485 eV/atom.



[8]
Compound: Rb3NaMg2Br9
Source: the Alexandria database
Functional: GGA-PBE
Structure: relaxed

POSCAR file:
```
Rb3NaMg2Br9
1.0
-7.320 -0.381 -2.500
2.957 -5.782 4.219
-2.971 4.344 8.035
Rb Br Na Mg
3 9 1 2
Direct
0.333 0.667 0.662
0.667 0.333 0.338
0.000 0.000 0.000
0.000 0.500 0.000
0.172 0.828 0.320
0.828 0.172 0.680
0.656 0.828 0.320
0.344 0.172 0.680
0.172 0.344 0.320
0.500 0.000 0.000
0.828 0.656 0.680
0.500 0.500 0.000
0.000 0.000 0.500
0.333 0.667 0.166
0.667 0.333 0.834
```

Calculated values
Its crystal system is trigonal. As for the total energy: -0.2164 Ry/atom.